Below is an optimized crystal structure of HgSbPt2, with properties calculated at the GGA-PBE level. Values from VASP.

Output
total magnetic moment = 0.00 μB/f.u.
SG = Pm, No. 6
total DFT energy (no corrections) = -17.06 eV for the cell shown
uncorrected formation energy = -0.138 eV/atom

```
&SYSTEM
  ibrav = 0, nat = 4, ntyp = 3
/
ATOMIC_SPECIES
Hg 200.59 Hg.upf
Pt 195.08 Pt.upf
Sb 121.76 Sb.upf
ATOMIC_POSITIONS crystal
Hg 0.500 0.739 0.829
Pt 0.000 0.150 0.943
Pt 0.500 0.120 0.305
Sb 0.000 0.491 0.424
CELL_PARAMETERS angstrom
3.874 0.000 0.000
0.000 3.942 0.052
0.000 2.716 5.315
```

Below is an optimized crystal structure of BeAgAu2, with properties calculated at the GGA-PBE level. Values from VASP.

Output
total magnetic moment = 0.00 μB/f.u.
SG = R3m, No. 160
energy of formation = -0.03 eV/atom
total DFT energy (no corrections) = -13.27 eV for the cell shown

```
&SYSTEM
  ibrav = 0, nat = 4, ntyp = 3
/
ATOMIC_SPECIES
Be 9.01 Be.upf
Ag 107.87 Ag.upf
Au 196.97 Au.upf
ATOMIC_POSITIONS crystal
Be 0.667 0.667 0.000
Ag 0.500 0.500 0.501
Au 0.069 0.069 0.793
Au 0.264 0.264 0.207
CELL_PARAMETERS angstrom
2.927 0.000 0.000
1.463 2.535 0.000
1.463 0.845 8.585
```

Below is an optimized crystal structure of UBeCo2, with properties calculated at the GGA-PBE level. Values from VASP.

Output
total magnetic moment = 0.00 μB/f.u.
SG = P4/mmm, No. 123
energy of formation = -0.16 eV/atom
total DFT energy (no corrections) = -29.85 eV for the cell shown
energy above the most stable polymorph in this dataset = 0 meV/atom

```
&SYSTEM
  ibrav = 0, nat = 4, ntyp = 3
/
ATOMIC_SPECIES
Co 58.93 Co.upf
U 238.03 U.upf
Be 9.01 Be.upf
ATOMIC_POSITIONS crystal
Co 0.000 0.000 0.805
Co 0.000 0.000 0.195
U 0.500 0.500 0.500
Be 0.500 0.500 0.000
CELL_PARAMETERS angstrom
-0.330 2.639 -0.860
-2.747 -0.435 -0.281
-0.900 1.830 5.963
```

Below is an optimized crystal structure of Ho4Ga3Co, with properties calculated at the GGA-PBE level. Values from VASP.

Output
total magnetic moment = 0.00 μB/f.u.
SG = Pmm2, No. 25
energy of formation = -0.50 eV/atom
total DFT energy (no corrections) = -38.51 eV for the cell shown

```
&SYSTEM
  ibrav = 0, nat = 8, ntyp = 3
/
ATOMIC_SPECIES
Ho 164.93 Ho.upf
Ga 69.72 Ga.upf
Co 58.93 Co.upf
ATOMIC_POSITIONS crystal
Ho 0.500 0.500 0.337
Ho 0.000 0.500 0.874
Ho 0.000 0.000 0.139
Ho 0.500 0.000 0.652
Ga 0.000 0.500 0.575
Ga 0.000 0.000 0.425
Ga 0.500 0.000 0.934
Co 0.500 0.500 0.064
CELL_PARAMETERS angstrom
-2.706 -2.686 -0.703
2.782 -2.173 -2.405
3.222 -5.527 8.721
```

Below is an optimized crystal structure of SrMnNiP, with properties calculated at the GGA-PBE level. Values from VASP.

Output
total magnetic moment = 1.71 μB/f.u.
SG = P4/nmm, No. 129
energy of formation = -0.36 eV/atom
total DFT energy (no corrections) = -47.00 eV for the cell shown

```
&SYSTEM
  ibrav = 0, nat = 8, ntyp = 4
/
ATOMIC_SPECIES
Sr 87.62 Sr.upf
Mn 54.94 Mn.upf
Ni 58.69 Ni.upf
P 30.97 P.upf
ATOMIC_POSITIONS crystal
Sr 0.750 0.750 0.276
Sr 0.250 0.250 0.724
Mn 0.750 0.250 0.000
Mn 0.250 0.750 0.000
Ni 0.250 0.750 0.500
Ni 0.750 0.250 0.500
P 0.750 0.750 0.878
P 0.250 0.250 0.122
CELL_PARAMETERS angstrom
-1.229 -0.934 3.291
3.372 -0.917 0.999
1.769 10.468 3.633
```

Below is an optimized crystal structure of Dy2PaRu3, with properties calculated at the GGA-PBE level. Values from VASP.

Output
total magnetic moment = 0.00 μB/f.u.
SG = Immm, No. 71
energy of formation = -0.16 eV/atom
total DFT energy (no corrections) = -47.50 eV for the cell shown
energy above the most stable polymorph in this dataset = 306 meV/atom

```
&SYSTEM
  ibrav = 0, nat = 6, ntyp = 3
/
ATOMIC_SPECIES
Dy 162.50 Dy.upf
Pa 231.04 Pa.upf
Ru 101.07 Ru.upf
ATOMIC_POSITIONS crystal
Dy 0.667 0.167 0.334
Dy 0.333 0.833 0.666
Pa 0.000 0.500 0.000
Ru 0.350 0.350 0.700
Ru 0.000 0.000 0.000
Ru 0.650 0.650 0.300
CELL_PARAMETERS angstrom
-0.701 1.584 2.895
-5.404 -0.041 -1.286
2.355 -6.790 2.319
```

Below is an optimized crystal structure of Ba2NdTlCu2O7, with properties calculated at the GGA-PBE level. Values from VASP.

Output
total magnetic moment = 0.00 μB/f.u.
SG = Pmm2, No. 25
total DFT energy (no corrections) = -77.28 eV for the cell shown
uncorrected formation energy = -1.800 eV/atom

```
&SYSTEM
  ibrav = 0, nat = 13, ntyp = 5
/
ATOMIC_SPECIES
Ba 137.33 Ba.upf
Nd 144.24 Nd.upf
Tl 204.38 Tl.upf
Cu 63.55 Cu.upf
O 16.00 O.upf
ATOMIC_POSITIONS crystal
Ba 0.500 0.498 0.795
Ba 0.500 0.498 0.205
Nd 0.500 0.498 0.500
Tl 0.000 0.933 0.000
Cu 0.000 0.998 0.633
Cu 0.000 0.998 0.367
O 0.500 0.997 0.618
O 0.000 0.498 0.620
O 0.500 0.997 0.382
O 0.000 0.498 0.380
O 0.000 0.014 0.835
O 0.000 0.014 0.165
O 0.500 0.605 0.000
CELL_PARAMETERS angstrom
3.916 0.000 0.000
0.000 3.952 0.000
0.000 0.000 12.843
```

Below is an optimized crystal structure of CaLa2NdTe4, with properties calculated at the GGA-PBE level. Values from VASP.

Output
total magnetic moment = 0.00 μB/f.u.
SG = P2/m, No. 10
total DFT energy (no corrections) = -41.57 eV for the cell shown
uncorrected formation energy = -1.547 eV/atom

```
&SYSTEM
  ibrav = 0, nat = 8, ntyp = 4
/
ATOMIC_SPECIES
Ca 40.08 Ca.upf
La 138.91 La.upf
Nd 144.24 Nd.upf
Te 127.60 Te.upf
ATOMIC_POSITIONS crystal
Ca 0.500 0.500 0.000
La 0.000 0.000 0.000
La 0.500 0.000 0.500
Nd 0.000 0.500 0.500
Te 0.000 0.741 0.756
Te 0.000 0.259 0.244
Te 0.500 0.743 0.249
Te 0.500 0.257 0.751
CELL_PARAMETERS angstrom
4.520 0.000 0.000
0.000 7.858 -0.170
0.000 2.753 7.402
```